--- P ---
Computed, not measured: crystalline ZrCOF2 at its relaxed geometry at the PBE-GGA level of DFT.

## Properties
Its density of states at the Fermi level is 3.166 states/eV/cell.

Lattice parameters (Å, degrees): 4.2289 4.2289 4.0802 90.00 90.00 90.00
Each line ends with the local moment (μB).
Sites, in units of the cell vectors:
Zr: 0.0000 0.0000 0.0000  0.01
F: 0.0000 0.5000 0.0000  0.03
F: 0.5000 0.0000 0.0000  0.03
O: 0.0000 0.0000 0.5000  -0.03
C: 0.5000 0.5000 0.5000  0.97


--- Q ---
Computed, not measured: crystalline ZrCOF2 at its relaxed geometry at the PBE-GGA level of DFT.

## Properties
Its density of states at the Fermi level is 3.586 states/eV/cell.

Lattice parameters (Å, degrees): 4.3505 4.3505 3.0517 90.00 90.00 90.00
Sites, in units of the cell vectors:
F: 0.0000 0.5000 0.0000
F: 0.5000 0.0000 0.0000
Zr: 0.5000 0.5000 0.5000
C: 0.0000 0.0000 0.0000
O: 0.0000 0.0000 0.5000


Most stable to least stable: P, Q


--- P ---
Computed, not measured: crystalline OsCF2 at its relaxed geometry at the PBE-GGA level of DFT.

## Properties
Its density of states at the Fermi level is 0.022 states/eV/cell.

Lattice parameters (Å, degrees): 7.2974 7.2974 5.5060 48.50 48.50 90.00
Sites, in units of the cell vectors:
Os: 0.7500 0.2500 0.5000
Os: 0.0000 0.0000 0.0000
C: 0.5000 0.5000 0.0000
C: 0.2500 0.7500 0.5000
F: 0.7515 0.1250 0.2500
F: 0.8750 0.0015 0.7500
F: 0.9985 0.6250 0.2500
F: 0.3750 0.2485 0.7500


--- Q ---
Computed, not measured: crystalline OsCF2 at its relaxed geometry at the PBE-GGA level of DFT.

## Properties
Its density of states at the Fermi level is 0.646 states/eV/cell.

Lattice parameters (Å, degrees): 3.9456 3.9456 3.9456 60.00 60.00 60.00
Each line ends with the local moment (μB).
Sites, in units of the cell vectors:
C: 0.0000 0.0000 0.0000  -0.63
F: 0.2500 0.2500 0.2500  0.06
F: 0.7500 0.7500 0.7500  0.06
Os: 0.5000 0.5000 0.5000  2.90


--- R ---
Computed, not measured: crystalline OsCF2 at its relaxed geometry at the PBE-GGA level of DFT.

## Properties
Its density of states at the Fermi level is 2.654 states/eV/cell.

Lattice parameters (Å, degrees): 10.5269 10.5269 10.5269 13.93 13.93 13.93
Each line ends with the local moment (μB).
Sites, in units of the cell vectors:
F: 0.9562 0.9562 0.9562  0.00
F: 0.0438 0.0438 0.0438  0.00
Os: 0.5000 0.5000 0.5000  0.85
C: 0.0000 0.0000 0.0000  0.00


--- S ---
Computed, not measured: crystalline OsCF2 at its relaxed geometry at the PBE-GGA level of DFT.

## Properties
Its density of states at the Fermi level is 2.814 states/eV/cell.

Lattice parameters (Å, degrees): 9.1978 9.1978 9.1978 16.29 16.29 16.29
Sites, in units of the cell vectors:
C: 0.5000 0.5000 0.5000
F: 0.9302 0.9302 0.9302
F: 0.0698 0.0698 0.0698
Os: 0.0000 0.0000 0.0000


Most stable to least stable: P, S, R, Q


--- P ---
Computed, not measured: crystalline Os2CF at its relaxed geometry at the PBE-GGA level of DFT.

## Properties
Its density of states at the Fermi level is 3.538 states/eV/cell.

Lattice parameters (Å, degrees): 3.9230 3.9230 3.9230 60.00 60.00 60.00
Sites, in units of the cell vectors:
C: 0.0000 0.0000 0.0000
Os: 0.7500 0.7500 0.7500
Os: 0.2500 0.2500 0.2500
F: 0.5000 0.5000 0.5000


--- Q ---
Computed, not measured: crystalline Os2CF at its relaxed geometry at the PBE-GGA level of DFT.

## Properties
Its density of states at the Fermi level is 7.120 states/eV/cell.

Lattice parameters (Å, degrees): 4.4186 4.4186 6.5021 70.14 70.14 90.00
Sites, in units of the cell vectors:
F: 0.0000 0.0000 0.0000
F: 0.7500 0.2500 0.5000
C: 0.5000 0.5000 0.0000
C: 0.2500 0.7500 0.5000
Os: 0.5431 0.1250 0.2500
Os: 0.2069 0.6250 0.2500
Os: 0.3750 0.4569 0.7500
Os: 0.8750 0.7931 0.7500


Most stable to least stable: Q, P


--- P ---
Computed, not measured: crystalline PCF2 at its relaxed geometry at the PBE-GGA level of DFT.

## Properties
Its density of states at the Fermi level is 0.440 states/eV/cell.

Lattice parameters (Å, degrees): 5.5958 5.5958 5.6008 60.03 60.03 90.00
Sites, in units of the cell vectors:
F: 0.3741 0.6250 0.2500
F: 0.8750 0.6259 0.7500
F: 0.3750 0.6241 0.7500
F: 0.3759 0.1250 0.2500
C: 0.5000 0.5000 0.0000
C: 0.2500 0.7500 0.5000
P: 0.7500 0.2500 0.5000
P: 0.0000 0.0000 0.0000


--- Q ---
Computed, not measured: crystalline PCF2 at its relaxed geometry at the PBE-GGA level of DFT.

## Properties
Its density of states at the Fermi level is 0.000 states/eV/cell.

Lattice parameters (Å, degrees): 4.1360 4.1647 6.5590 77.17 80.28 88.91
Sites, in units of the cell vectors:
F: 0.9882 0.7028 0.7336
F: 0.1593 0.1825 0.8353
F: 0.9997 0.5575 0.2438
F: 0.5536 0.1750 0.1933
C: 0.8200 0.4427 0.4514
C: 0.5431 0.6570 0.5074
P: 0.5271 0.0870 0.4451
P: 0.1748 0.4341 0.6131


--- R ---
Computed, not measured: crystalline PCF2 at its relaxed geometry at the PBE-GGA level of DFT.

## Properties
Its density of states at the Fermi level is 1.173 states/eV/cell.

Lattice parameters (Å, degrees): 9.8071 9.8071 9.8071 14.41 14.41 14.41
Sites, in units of the cell vectors:
C: 0.5000 0.5000 0.5000
P: 0.0000 0.0000 0.0000
F: 0.9443 0.9443 0.9443
F: 0.0557 0.0557 0.0557


Most stable to least stable: Q, R, P


--- P ---
Computed, not measured: crystalline PCF2 at its relaxed geometry at the PBE-GGA level of DFT.

## Properties
Its density of states at the Fermi level is 0.000 states/eV/cell.

Lattice parameters (Å, degrees): 4.0945 5.3834 6.7100 93.71 103.69 98.78
Sites, in units of the cell vectors:
F: 0.8862 0.3580 0.3669
F: 0.3273 0.0316 0.1145
F: 0.1101 0.8144 0.6802
F: 0.7833 0.3259 0.8285
C: 0.8090 0.1496 0.4840
C: 0.6319 0.1908 0.6419
P: 0.2267 0.0320 0.5472
P: 0.4640 0.8865 0.3139


--- Q ---
Computed, not measured: crystalline PCF2 at its relaxed geometry at the PBE-GGA level of DFT.

## Properties
Its density of states at the Fermi level is 2.725 states/eV/cell.

Lattice parameters (Å, degrees): 3.9426 3.9426 3.9426 60.00 60.00 60.00
Each line ends with the local moment (μB).
Sites, in units of the cell vectors:
P: 0.5000 0.5000 0.5000  0.07
C: 0.0000 0.0000 0.0000  0.32
F: 0.2500 0.2500 0.2500  0.08
F: 0.7500 0.7500 0.7500  0.08


Most stable to least stable: P, Q


--- P ---
Computed, not measured: crystalline PCF2 at its relaxed geometry at the PBE-GGA level of DFT.

## Properties
Its density of states at the Fermi level is 0.000 states/eV/cell.

Lattice parameters (Å, degrees): 5.2598 5.4931 6.3678 61.47 76.90 71.38
Sites, in units of the cell vectors:
C: 0.7639 0.6753 0.9582
C: 0.8155 0.6103 0.1805
P: 0.0631 0.4751 0.8541
P: 0.0554 0.2679 0.2669
F: 0.9477 0.2663 0.8019
F: 0.6981 0.7554 0.3130
F: 0.5496 0.8623 0.8369
F: 0.3180 0.3258 0.3158


--- Q ---
Computed, not measured: crystalline PCF2 at its relaxed geometry at the PBE-GGA level of DFT.

## Properties
Its density of states at the Fermi level is 0.699 states/eV/cell.

Lattice parameters (Å, degrees): 9.8972 9.8972 9.8972 14.14 14.14 14.14
Sites, in units of the cell vectors:
C: 0.0000 0.0000 0.0000
P: 0.5000 0.5000 0.5000
F: 0.9532 0.9532 0.9532
F: 0.0468 0.0468 0.0468


--- R ---
Computed, not measured: crystalline PCF2 at its relaxed geometry at the PBE-GGA level of DFT.

Lattice parameters (Å, degrees): 3.1275 3.1275 17.9176 90.00 90.00 120.00
Each line ends with the local moment (μB).
Sites, in units of the cell vectors:
P: 0.6667 0.3333 0.3032  -0.04
P: 0.0000 0.0000 0.9699  -0.04
P: 0.3333 0.6667 0.6366  -0.04
C: 0.6667 0.3333 0.9699  0.47
C: 0.3333 0.6667 0.3032  0.47
C: 0.0000 0.0000 0.6366  0.47
F: 0.6667 0.3333 0.2107  0.10
F: 0.0000 0.0000 0.0624  0.10
F: 0.0000 0.0000 0.8773  0.10
F: 0.3333 0.6667 0.5440  0.10
F: 0.3333 0.6667 0.7291  0.10
F: 0.6667 0.3333 0.3958  0.10


Most stable to least stable: P, R, Q